VASP calculation (PBE) on a geometry-optimized LaPuHg3 structure.

a = 3.4680 Å, b = 5.0740 Å, c = 15.1682 Å
α = 90.00°, β = 96.56°, γ = 90.00°
With the nearest neighbours (Å) after each atom.
Atoms (fractional coordinates):
Hg: 0.6768 0.2500 0.3537  2 Hg 3.01, 5 Pu 3.24-3.29
La: 0.0741 0.2500 0.1481  12 Hg 3.41-3.55, 2 La 3.47
Pu: 0.7844 0.2500 0.5687  7 Hg 3.24-3.29, 2 Pu 3.47
Hg: 0.5246 0.7500 0.0491  3 Hg 2.94-2.96
Hg: 0.3772 0.2500 0.7543  3 Hg 2.96-3.01, 2 Pu 3.29
Hg: 0.4754 0.2500 0.9509  3 Hg 2.94-2.96
Hg: 0.6228 0.7500 0.2457  3 Hg 2.96-3.01, 2 Pu 3.29
La: 0.9259 0.7500 0.8519  12 Hg 3.41-3.55, 2 La 3.47
Hg: 0.3232 0.7500 0.6463  2 Hg 3.01, 5 Pu 3.24-3.29
Pu: 0.2156 0.7500 0.4313  7 Hg 3.24-3.29, 2 Pu 3.47

Calculated values
Calculated density   12.33 g/cm3
Formation energy from the elements   -0.318 eV per atom
Total DFT energy (no corrections)   -4.35 eV/atom

---

VASP calculation (PBE) on a geometry-optimized LaPuHg4 structure.

a = 6.0570 Å, b = 6.0570 Å, c = 6.0570 Å
α = 60.00°, β = 60.00°, γ = 60.00°
With the nearest neighbours (Å) after each atom.
Atoms (fractional coordinates):
Hg: 0.6250 0.6250 0.6250  6 Hg 3.03
Pu: 0.2500 0.2500 0.2500  12 Hg 3.55, 4 La 3.71
Hg: 0.1249 0.6250 0.6250  6 Hg 3.03
La: 0.0000 0.0000 0.0000  12 Hg 3.55, 4 Pu 3.71
Hg: 0.6250 0.6250 0.1249  6 Hg 3.03
Hg: 0.6250 0.1249 0.6250  6 Hg 3.03

Calculated values
Calculated density   12.53 g/cm3
Formation energy from the elements   -0.160 eV per atom
Total DFT energy (no corrections)   -3.57 eV/atom

---

VASP calculation (PBE) on a geometry-optimized LaPuHg4 structure.

a = 5.1098 Å, b = 6.1402 Å, c = 6.1402 Å
α = 92.14°, β = 65.34°, γ = 65.34°
With the nearest neighbours (Å) after each atom.
Atoms (fractional coordinates):
Hg: 0.2455 0.4211 0.0877  3 Hg 2.95
Hg: 0.7545 0.9123 0.5789  3 Hg 2.95
Pu: 0.5000 0.5000 0.5000  12 Hg 3.39-3.42, 2 La 3.40
Hg: 0.7545 0.5789 0.9123  3 Hg 2.95
La: 0.0000 0.0000 0.0000  12 Hg 3.39-3.42, 2 Pu 3.40
Hg: 0.2455 0.0877 0.4211  3 Hg 2.95

Calculated values
Calculated density   12.80 g/cm3
Formation energy from the elements   -0.322 eV per atom
Total DFT energy (no corrections)   -3.73 eV/atom

---

VASP calculation (PBE) on a geometry-optimized La6PuHg5 structure.

a = 5.5637 Å, b = 7.7724 Å, c = 9.5727 Å
α = 113.95°, β = 106.93°, γ = 90.00°
With the nearest neighbours (Å) after each atom.
Atoms (fractional coordinates):
Pu: 0.0000 0.0000 0.0000  8 La 3.37-3.40
Hg: 0.6665 0.6666 0.3332  8 La 3.37-3.40
La: 0.4999 0.7477 0.0000  6 Hg 3.32-3.38, 2 Pu 3.40
La: 0.8339 0.0829 0.6673  1 Pu 3.37, 7 Hg 3.38-3.45
La: 0.1661 0.9171 0.3327  1 Pu 3.37, 7 Hg 3.38-3.45
Hg: 0.0000 0.5000 0.0000  8 La 3.38
La: 0.8338 0.5844 0.6673  1 Pu 3.37, 7 Hg 3.38-3.45
La: 0.5001 0.2523 0.0000  6 Hg 3.32-3.38, 2 Pu 3.40
Hg: 0.3384 0.8383 0.6766  8 La 3.32-3.45
Hg: 0.6616 0.1617 0.3234  8 La 3.32-3.45
Hg: 0.3335 0.3334 0.6668  8 La 3.37-3.40
La: 0.1662 0.4156 0.3327  1 Pu 3.37, 7 Hg 3.38-3.45

Calculated values
Calculated density   9.63 g/cm3
Formation energy from the elements   -0.379 eV per atom
Total DFT energy (no corrections)   -4.16 eV/atom

---

Number 1: total magnetic moment 6.14 μB/f.u.. Number 2: total magnetic moment 5.90 μB/f.u.. Number 3: total magnetic moment 6.11 μB/f.u.. Number 4: total magnetic moment 8.47 μB/f.u..